# 1
Material: MgMoIO2
Method: DFT, PBE with a Hubbard U
State: relaxed

Structure (POSCAR):
```
MgMoIO2
1.0
4.016 0.000 0.000
0.000 4.016 0.000
0.000 0.000 6.945
Mg Mo I O
1 1 1 2
direct
0.000 0.000 0.000 Mg
0.500 0.500 0.500 Mo
0.500 0.500 0.000 I
0.000 0.500 0.500 O
0.500 0.000 0.500 O
```

Output
- crystal system = tetragonal
- DOS(E_F) (states/eV per cell) = 2.04


# 2
Material: MgMoIO2
Method: DFT, PBE with a Hubbard U
State: relaxed

Structure (POSCAR):
```
MgMoIO2
1.0
4.106 0.000 0.000
0.000 4.106 0.000
0.000 0.000 5.807
Mg Mo I O
1 1 1 2
direct
0.000 0.000 0.000 Mg
0.500 0.500 0.500 Mo
0.000 0.000 0.500 I
0.000 0.500 0.000 O
0.500 0.000 0.000 O
```

Output
- crystal system = tetragonal
- DOS(E_F) (states/eV per cell) = 1.28


Uncorrected energy: -23.888, -21.562 (eV per cell)